A relaxed AcCeC crystal. Source: Alexandria via LeMat-Bulk, functional PBE.

Geometry as POSCAR:
```
AcCeC
1.0
3.744 0.000 0.000
-1.872 3.243 0.000
0.000 0.000 6.793
Ac C Ce
1 1 1
direct
0.000 0.000 0.102
0.667 0.333 0.364
0.333 0.667 0.535
```

As for the density of states at the Fermi level: 5.33 states/eV per cell. For the final energy, the calculation gives -6.41 eV/atom. Its formation energy is 0.01 eV/atom. For the energy relative to the lowest polymorph listed for this composition, the calculation gives 0 meV per atom.